# 1
## In2CoRu (PBE)

Data for a relaxed In2CoRu crystal.

Properties
- ρ: 9.54 Mg/m³
- DFT total energy: -20.6 eV/cell
- Crystal system: monoclinic

Cell lengths 4.576, 4.576, 5.175 Å; angles 102.92, 102.92, 40.14 degrees
Fractional positions:
In: 0.246 0.246 0.244
In: 0.754 0.754 0.756
Co: 0.500 0.500 0.000
Ru: 0.000 0.000 0.500

# 2
## NaFeSn3 (PBE)

Data for a relaxed NaFeSn3 crystal.

Properties
- ρ: 4.45 Mg/m³
- Crystal system: cubic
- ΔE to the lowest computed polymorph: 1131 meV/atom

Cell lengths 5.454, 5.454, 5.454 Å; angles 90.00, 90.00, 90.00 degrees
Fractional positions:
Na: 0.000 0.000 0.000
Fe: 0.500 0.500 0.500
Sn: 0.000 0.000 0.500
Sn: 0.000 0.500 0.000
Sn: 0.500 0.000 0.000

# 3
## BaCa2As (PBE)

Data for a relaxed BaCa2As crystal.

Properties
- ρ: 3.30 Mg/m³
- DFT total energy: -12.6 eV/cell
- Crystal system: orthorhombic

Cell lengths 3.844, 3.844, 9.960 Å; angles 90.00, 90.00, 90.15 degrees
Fractional positions:
Ba: 0.000 0.000 0.000
Ca: 0.500 0.500 0.345
Ca: 0.500 0.500 0.655
As: 0.000 0.000 0.500

# 4
## Li2TbCd (PBE)

Data for a relaxed Li2TbCd crystal.

Properties
- ρ: 4.99 Mg/m³
- Crystal system: trigonal
- ΔE to the lowest computed polymorph: 100 meV/atom

Cell lengths 10.191, 10.191, 10.191 Å; angles 18.68, 18.68, 18.68 degrees
Fractional positions:
Li: 0.000 0.000 0.000
Li: 0.185 0.185 0.185
Tb: 0.426 0.426 0.426
Cd: 0.592 0.592 0.592

# 5
## NdSi2Pt2 (PBE)

Data for a relaxed NdSi2Pt2 crystal.

Properties
- ρ: 10.88 Mg/m³
- Crystal system: tetragonal
- Uncorrected formation energy: -1.1139 eV/atom

Cell lengths 4.285, 4.285, 9.820 Å; angles 90.00, 90.00, 90.00 degrees
Fractional positions:
Nd: 0.250 0.250 0.245
Nd: 0.750 0.750 0.755
Si: 0.250 0.250 0.631
Si: 0.250 0.750 0.000
Si: 0.750 0.250 0.000
Si: 0.750 0.750 0.369
Pt: 0.250 0.250 0.879
Pt: 0.250 0.750 0.500
Pt: 0.750 0.250 0.500
Pt: 0.750 0.750 0.121

# 6
## AcGaAu2O6 (PBE)

Data for a relaxed AcGaAu2O6 crystal.

Properties
- ρ: 8.58 Mg/m³
- Crystal system: monoclinic
- Uncorrected formation energy: -1.3014 eV/atom

Cell lengths 7.369, 7.369, 7.417 Å; angles 112.74, 112.74, 57.38 degrees
Fractional positions:
Ac: 0.193 0.807 0.750
Ac: 0.807 0.193 0.250
Ga: 0.312 0.688 0.250
Ga: 0.688 0.312 0.750
Au: 0.187 0.278 0.111
Au: 0.278 0.187 0.611
Au: 0.722 0.813 0.389
Au: 0.813 0.722 0.889
O: 0.067 0.810 0.044
O: 0.107 0.331 0.365
O: 0.190 0.933 0.456
O: 0.331 0.107 0.865
O: 0.397 0.409 0.276
O: 0.409 0.397 0.776
O: 0.591 0.603 0.224
O: 0.603 0.591 0.724
O: 0.669 0.893 0.135
O: 0.810 0.067 0.544
O: 0.893 0.669 0.635
O: 0.933 0.190 0.956

# 7
## CuTe2As (PBE)

Data for a relaxed CuTe2As crystal.

Properties
- ρ: 5.35 Mg/m³
- Crystal system: tetragonal
- Uncorrected formation energy: 0.0824 eV/atom

Cell lengths 7.677, 7.677, 7.677 Å; angles 132.05, 132.05, 70.16 degrees
Fractional positions:
Cu: 0.000 0.000 0.000
Cu: 0.750 0.250 0.500
Te: 0.090 0.625 0.965
Te: 0.375 0.340 0.465
Te: 0.660 0.125 0.035
Te: 0.875 0.910 0.535
As: 0.250 0.750 0.500
As: 0.500 0.500 0.000

# 8
## RbNa3Ce2S6 (PBE)

Data for a relaxed RbNa3Ce2S6 crystal.

Properties
- ρ: 3.34 Mg/m³
- Crystal system: monoclinic
- Uncorrected formation energy: -1.4837 eV/atom

Cell lengths 9.100, 9.100, 8.568 Å; angles 100.03, 100.03, 26.52 degrees
Fractional positions:
Rb: 0.000 0.000 0.000
Na: 0.000 0.000 0.500
Na: 0.342 0.342 0.181
Na: 0.658 0.658 0.819
Ce: 0.335 0.335 0.665
Ce: 0.665 0.665 0.335
S: 0.174 0.174 0.562
S: 0.181 0.181 0.133
S: 0.483 0.483 0.714
S: 0.517 0.517 0.286
S: 0.819 0.819 0.867
S: 0.826 0.826 0.438

# 9
## Nd2SmErS5 (PBE)

Data for a relaxed Nd2SmErS5 crystal.

Properties
- ρ: 5.22 Mg/m³
- Crystal system: tetragonal
- Uncorrected formation energy: -1.4826 eV/atom

Cell lengths 4.845, 4.845, 10.395 Å; angles 90.00, 90.00, 90.00 degrees
Fractional positions:
Nd: 0.000 0.000 0.193
Nd: 0.000 0.000 0.807
Sm: 0.500 0.500 0.500
Er: 0.500 0.500 0.000
S: 0.000 0.000 0.500
S: 0.000 0.500 0.000
S: 0.500 0.000 0.000
S: 0.500 0.500 0.251
S: 0.500 0.500 0.749

# 10
## LaCr2Ni (PBE)

Data for a relaxed LaCr2Ni crystal.

Properties
- ρ: 6.37 Mg/m³
- Crystal system: trigonal
- ΔE to the lowest computed polymorph: 0 meV/atom

Cell lengths 5.726, 5.726, 5.726 Å; angles 42.84, 42.84, 42.84 degrees
Fractional positions:
La: 0.000 0.000 0.000
Cr: 0.510 0.510 0.510
Cr: 0.797 0.797 0.797
Ni: 0.196 0.196 0.196

# 11
## Ba4GePb (PBE)

Data for a relaxed Ba4GePb crystal.

Properties
- ρ: 4.95 Mg/m³
- DFT total energy: -37.5 eV/cell
- Crystal system: monoclinic

Cell lengths 9.481, 9.481, 7.665 Å; angles 106.50, 106.50, 111.10 degrees
Fractional positions:
Ba: 0.053 0.713 0.922
Ba: 0.231 0.353 0.710
Ba: 0.287 0.947 0.578
Ba: 0.353 0.231 0.210
Ba: 0.647 0.769 0.790
Ba: 0.713 0.053 0.422
Ba: 0.769 0.647 0.290
Ba: 0.947 0.287 0.078
Ge: 0.001 0.999 0.750
Ge: 0.999 0.001 0.250
Pb: 0.364 0.636 0.250
Pb: 0.636 0.364 0.750

# 12
## TiTl2HgSb (PBE)

Data for a relaxed TiTl2HgSb crystal.

Properties
- ρ: 7.90 Mg/m³
- Crystal system: tetragonal
- Uncorrected formation energy: 0.1815 eV/atom

Cell lengths 5.592, 5.592, 5.235 Å; angles 90.00, 90.00, 90.00 degrees
Fractional positions:
Ti: 0.000 0.000 0.000
Tl: 0.000 0.500 0.000
Tl: 0.500 0.000 0.000
Hg: 0.500 0.500 0.500
Sb: 0.000 0.000 0.500

What did the third record say?
## BaCa2As (PBE)

Data for a relaxed BaCa2As crystal.

Properties
- ρ: 3.30 Mg/m³
- DFT total energy: -12.6 eV/cell
- Crystal system: orthorhombic

Cell lengths 3.844, 3.844, 9.960 Å; angles 90.00, 90.00, 90.15 degrees
Fractional positions:
Ba: 0.000 0.000 0.000
Ca: 0.500 0.500 0.345
Ca: 0.500 0.500 0.655
As: 0.000 0.000 0.500